Record 1
This record from Alexandria via LeMat-Bulk describes Tm2BiC after structural relaxation. The functional is PBE-GGA.

Values from the calculation:
SG = Pnma (62)
total magnetic moment = 0.00 μB/atom
D(E_F) = 3.3 states/eV/f.u.
E_form = -0.14 eV/atom

Lattice parameters (Å, degrees): 4.2747 6.9039 16.1982 90.00 90.00 90.00
With the nearest neighbours (Å) after each atom.
Sites, in units of the cell vectors:
Tm 0.7500 0.0698 0.5739  3 C 2.29-2.36
Tm 0.2500 0.4302 0.0739  3 C 2.29-2.36
Tm 0.2500 0.9302 0.4261  3 C 2.29-2.36
Tm 0.7500 0.5698 0.9261  3 C 2.29-2.36
Tm 0.7500 0.7973 0.1624  1 C 2.17
Tm 0.2500 0.7027 0.6624  1 C 2.17
Tm 0.2500 0.2027 0.8376  1 C 2.17
Tm 0.7500 0.2973 0.3376  1 C 2.17
Bi 0.7500 0.3978 0.7271  6 Tm 3.10-3.44
Bi 0.2500 0.1022 0.2271  6 Tm 3.10-3.44
Bi 0.2500 0.6022 0.2729  6 Tm 3.10-3.44
Bi 0.7500 0.8978 0.7729  6 Tm 3.10-3.44
C 0.7500 0.0756 0.4325  4 Tm 2.17-2.36
C 0.2500 0.4244 0.9325  4 Tm 2.17-2.36
C 0.2500 0.9244 0.5675  4 Tm 2.17-2.36
C 0.7500 0.5756 0.0675  4 Tm 2.17-2.36

=====

Record 2
This record from Alexandria via LeMat-Bulk describes BeTcAu2 after structural relaxation. The functional is PBE-GGA.

Values from the calculation:
SG = Cm (8)
total magnetic moment = 0.00 μB/atom
D(E_F) = 2.9 states/eV/f.u.
E_form = 0.22 eV/atom

Lattice parameters (Å, degrees): 5.0439 5.0439 4.8843 70.41 70.41 30.96
With the nearest neighbours (Å) after each atom.
Sites, in units of the cell vectors:
Be 0.5079 0.5079 0.5592  4 Au 2.45-2.50, 2 Tc 2.47, 2 Be 2.69
Au 0.9968 0.9968 0.9974  2 Be 2.50, 3 Au 2.69-2.80
Au 0.2144 0.2144 0.2505  2 Be 2.45, 2 Au 2.69
Tc 0.7809 0.7809 0.6929  2 Be 2.47, 2 Tc 2.69